1.
Cs2CdSnAu (PBE, optimized geometry); ΔE_f = -0.3 eV per formula unit; SG = P4/mmm; crystal system = tetragonal; electronic total energy = -2.0422 eV/atom
1.0
7.134 0.000 0.000
0.000 7.134 0.000
0.000 0.000 5.147
Cs Au Sn Cd
2 1 1 1
direct
0.000 0.500 0.000
0.500 0.000 0.000
0.000 0.000 0.000
0.000 0.000 0.500
0.500 0.500 0.500

---

2.
CsCd2SnAu4 (PBE, optimized geometry); ΔE_f = -0.9 eV per formula unit; SG = R-3m; crystal system = trigonal; electronic total energy = -2.5909 eV/atom
1.0
-2.666 -4.025 0.971
0.653 -4.088 -2.667
7.172 -6.158 6.652
Cs Cd Sn Au
1 2 1 4
direct
0.000 0.000 0.000
0.750 0.750 0.750
0.250 0.250 0.250
0.500 0.500 0.500
0.413 0.413 0.760
0.836 0.836 0.492
0.164 0.164 0.508
0.587 0.587 0.240

---

3.
CsCdSnAu3 (PBE, optimized geometry); ΔE_f = -1.2 eV per formula unit; SG = Cmcm; crystal system = orthorhombic; electronic total energy = -2.7924 eV/atom
1.0
-0.519 5.653 5.081
-3.905 -4.366 4.459
7.782 0.027 0.765
Cs Cd Sn Au
2 2 2 6
direct
0.750 0.261 0.522
0.250 0.739 0.478
0.250 0.031 0.062
0.750 0.969 0.938
0.250 0.425 0.850
0.750 0.575 0.150
0.250 0.230 0.461
0.000 0.270 0.000
0.500 0.730 0.000
0.500 0.270 0.000
0.000 0.730 0.000
0.750 0.770 0.539

---

4.
CsCdSnAu (PBE, optimized geometry); ΔE_f = -0.9 eV per formula unit; SG = Cm; crystal system = monoclinic; electronic total energy = -2.4858 eV/atom
1.0
-2.909 0.523 -3.866
-1.389 -2.785 3.741
-0.619 6.154 4.354
Cs Cd Sn Au
1 1 1 1
direct
0.415 0.072 0.487
0.031 0.880 0.912
0.484 0.607 0.091
0.762 0.245 0.007

---

5.
CsCd4SnAu2 (PBE, optimized geometry); ΔE_f = -0.4 eV per formula unit; SG = R-3m; crystal system = trigonal; electronic total energy = -1.9303 eV/atom
1.0
4.788 0.000 0.000
2.394 4.146 0.000
2.394 1.382 12.820
Cs Cd Sn Au
1 4 1 2
direct
0.000 0.000 0.000
0.415 0.415 0.754
0.806 0.806 0.581
0.194 0.194 0.419
0.585 0.585 0.246
0.500 0.500 0.500
0.733 0.733 0.800
0.267 0.267 0.200

---

6.
CsTlCd2Au (PBE, optimized geometry); ΔE_f = -0.6 eV per formula unit; SG = Imm2; crystal system = orthorhombic; electronic total energy = -1.7812 eV/atom
1.0
4.989 0.000 0.000
0.000 5.120 0.000
-2.494 -2.560 6.295
Cs Tl Cd Au
1 1 2 1
direct
0.439 0.439 0.879
0.196 0.696 0.393
0.701 0.201 0.402
0.051 0.051 0.102
0.825 0.825 0.649

---

7.
Cs2Tl4CdAu3 (PBE, optimized geometry); ΔE_f = -1.3 eV per formula unit; SG = P-4m2; crystal system = tetragonal; electronic total energy = -2.3241 eV/atom
1.0
5.393 0.000 0.000
0.000 5.393 0.000
0.000 0.000 11.256
Cs Tl Cd Au
2 4 1 3
direct
0.500 0.000 0.253
0.000 0.500 0.747
0.500 0.500 0.000
0.000 0.000 0.000
0.500 0.000 0.622
0.000 0.500 0.378
0.500 0.500 0.500
0.000 0.000 0.500
0.500 0.000 0.884
0.000 0.500 0.116

---

8.
CsTl2CdAu2 (PBE, optimized geometry); ΔE_f = -0.8 eV per formula unit; SG = Pmc2_1; crystal system = orthorhombic; electronic total energy = -2.3052 eV/atom
1.0
-0.778 -2.829 3.883
-1.710 -7.728 -5.972
7.659 -1.843 0.192
Cs Tl Cd Au
2 4 2 4
direct
0.000 0.006 0.437
0.000 0.506 0.563
0.500 0.049 0.060
0.000 0.343 0.138
0.500 0.549 0.940
0.000 0.843 0.862
0.500 0.235 0.714
0.500 0.735 0.286
0.000 0.145 0.866
0.500 0.267 0.349
0.000 0.645 0.134
0.500 0.767 0.651

---

9.
Cs2Tl2CdAu2 (PBE, optimized geometry); ΔE_f = -1.2 eV per formula unit; SG = C2/m; crystal system = monoclinic; electronic total energy = -2.1569 eV/atom
1.0
5.428 0.000 0.000
2.714 8.011 -1.959
2.714 1.028 6.035
Cs Tl Cd Au
2 2 1 2
direct
0.572 0.223 0.633
0.428 0.777 0.367
0.187 0.398 0.229
0.813 0.602 0.771
0.000 0.000 0.000
0.196 0.667 0.941
0.804 0.333 0.059

---

10.
Cs2TlCd4Au3 (PBE, optimized geometry); ΔE_f = -1.6 eV per formula unit; SG = P-4m2; crystal system = tetragonal; electronic total energy = -1.9209 eV/atom
1.0
-0.469 -1.721 4.724
3.523 -3.497 -0.925
8.485 7.593 3.609
Cs Tl Cd Au
2 1 4 3
direct
0.500 0.000 0.244
0.000 0.500 0.756
0.500 0.500 0.500
0.500 0.500 0.000
0.000 0.000 0.000
0.500 0.000 0.639
0.000 0.500 0.361
0.000 0.000 0.500
0.500 0.000 0.878
0.000 0.500 0.122

---

11.
CsTlCdAu2 (PBE, optimized geometry); ΔE_f = -0.9 eV per formula unit; SG = I-4m2; crystal system = tetragonal; electronic total energy = -2.3251 eV/atom
1.0
4.968 0.000 0.000
0.000 4.968 0.000
-2.484 -2.484 6.145
Cs Tl Cd Au
1 1 1 2
direct
0.000 0.000 0.000
0.250 0.750 0.500
0.750 0.250 0.500
0.615 0.615 0.229
0.385 0.385 0.771

---

12.
CsTlCd2Au (PBE, optimized geometry); ΔE_f = -0.3 eV per formula unit; SG = P4/mmm; crystal system = tetragonal; electronic total energy = -1.7348 eV/atom
1.0
5.501 0.000 0.000
0.000 5.501 0.000
0.000 0.000 5.708
Cs Tl Au Cd
1 1 1 2
direct
0.500 0.500 0.500
0.000 0.000 0.500
0.000 0.000 0.000
0.000 0.500 0.000
0.500 0.000 0.000